# 1
# RbMg

A relaxed structure of RbMg (PBE-GGA, the Alexandria database).

```
RbMg
1.0
5.1606 -5.8615 0.0000
5.1606 5.8615 0.0000
0.0000 0.0000 5.3219
Rb Mg
3 3
Cartesian
9.1691 0.0000 2.6609 Rb
2.4941 2.2390 0.0000 Rb
2.4941 -2.2390 0.0000 Rb
5.4363 1.5332 2.6609 Mg
5.9336 0.0000 0.0000 Mg
5.4363 -1.5332 2.6609 Mg
```

## Properties
raw total energy = -1.09 eV/atom
DFT formation energy = 188.0 meV/atom
volume = 53.66 Å³ per atom
theoretical density = 1.7 Mg/m³
space group = Amm2, No. 38
magnetic moment = 0.00 μB per formula unit

# 2
# PaFeCoRu

A relaxed structure of PaFeCoRu (PBE-GGA, the Alexandria database).

```
PaFeCoRu
1.0
4.4637 0.0000 0.0000
2.2319 3.8657 0.0000
2.2319 1.2886 3.6446
Ru Pa Co Fe
1 1 1 1
Cartesian
6.6956 3.8657 2.7334 Ru
0.0000 0.0000 0.0000 Pa
2.2319 1.2886 0.9111 Co
4.4637 2.5771 1.8223 Fe
```

## Properties
raw total energy = -8.61 eV/atom
DFT formation energy = -29.7 meV/atom
volume = 15.72 Å³ per atom
theoretical density = 11.8 Mg/m³
space group = F-43m, No. 216
magnetic moment = 3.09 μB per formula unit